First-principles (PBEsol) data for crystalline MgZr2Cd at its relaxed geometry, as listed in the Alexandria database.

Computed properties:
- calculated formation energy (eV/f.u.) = -0.20
- D(E_F) (states/eV per cell) = 4.174

extended XYZ file:
```
4
Lattice="-0.625 4.102 -1.095 -2.149 0.649 3.657 5.248 -1.235 0.785" Properties=species:S:1:pos:R:3 pbc="T T T"
Mg 0.000 0.000 0.000
Zr 1.617 2.621 0.485
Zr 0.855 0.895 2.862
Cd -1.387 2.375 1.281
```

---

First-principles (PBEsol) data for crystalline SrZrCl2 at its relaxed geometry, as listed in the Alexandria database.

Computed properties:
- polymorph energy (0 for the lowest one) (eV per atom) = 0.174
- D(E_F) (states/eV per cell) = 3.754

extended XYZ file:
```
4
Lattice="3.528 0.000 0.000 1.764 3.055 0.000 1.764 1.018 9.187" Properties=species:S:1:pos:R:3 pbc="T T T"
Sr 3.528 2.037 4.593
Zr 0.000 0.000 0.000
Cl 5.292 3.055 2.543
Cl 1.764 1.018 6.643
```

---

First-principles (PBEsol) data for crystalline BaSi3Bi at its relaxed geometry, as listed in the Alexandria database.

Computed properties:
- electronic total energy (eV/cell) = -15.305
- D(E_F) (states/eV per cell) = 5.218

extended XYZ file:
```
5
Lattice="-1.600 -4.443 -2.733 3.298 1.354 -4.131 4.042 -2.863 2.288" Properties=species:S:1:pos:R:3 pbc="T T T"
Si 1.649 0.677 -2.065
Si 2.021 -1.431 1.144
Si -0.800 -2.222 -1.367
Bi 2.870 -2.976 -2.288
Ba 0.000 0.000 0.000
```

---

First-principles (PBEsol) data for crystalline HfWC2 at its relaxed geometry, as listed in the Alexandria database.

Computed properties:
- calculated formation energy (eV/f.u.) = 1.80
- D(E_F) (states/eV per cell) = 2.312

extended XYZ file:
```
4
Lattice="3.927 0.000 0.000 1.963 3.401 0.000 1.963 1.134 3.206" Properties=species:S:1:pos:R:3 pbc="T T T"
C 1.963 1.134 0.802
C 5.890 3.401 2.405
Hf 0.000 0.000 0.000
W 3.927 2.267 1.603
```

---

First-principles (PBEsol) data for crystalline TcTe3W at its relaxed geometry, as listed in the Alexandria database.

Computed properties:
- electronic total energy (eV/cell) = -28.202
- D(E_F) (states/eV per cell) = 6.132

extended XYZ file:
```
5
Lattice="5.227 0.000 0.000 0.000 5.227 0.000 0.000 0.000 5.227" Properties=species:S:1:pos:R:3 pbc="T T T"
Te 0.000 2.613 0.000
Te 0.000 0.000 2.613
Te 2.613 0.000 0.000
Tc 2.613 2.613 2.613
W 0.000 0.000 0.000
```

---

First-principles (PBEsol) data for crystalline Ba2TcNiW at its relaxed geometry, as listed in the Alexandria database.

Computed properties:
- calculated formation energy (eV/f.u.) = 8.89
- D(E_F) (states/eV per cell) = 4.539

extended XYZ file:
```
5
Lattice="4.381 0.000 0.000 0.000 5.754 0.000 0.000 0.000 5.754" Properties=species:S:1:pos:R:3 pbc="T T T"
Ni 2.190 0.000 0.000
Ba 0.000 0.000 2.877
Ba 0.000 2.877 0.000
W 2.190 2.877 2.877
Tc 0.000 0.000 0.000
```